[1]
The following is a GGA-PBE calculation of a geometry-optimized Al2RuSe structure, from Alexandria via LeMat-Bulk.

Values from the calculation:
- Total DFT energy (no corrections): -5.3793 eV per atom

The structure in extended XYZ format:
```
4
Lattice="3.2121 0.0000 0.0000 0.0000 3.2121 0.0000 0.0000 0.0000 5.9915" Properties=species:S:1:pos:R:3 pbc="T T T"
Al 0.0000 0.0000 1.3673
Al 0.0000 0.0000 4.6242
Ru 1.6060 1.6060 0.0000
Se 1.6060 1.6060 2.9957
```

[2]
The following is a GGA-PBE calculation of a geometry-optimized AlRu2Se structure, from Alexandria via LeMat-Bulk.

Values from the calculation:
- Total DFT energy (no corrections): -6.0918 eV per atom
- Offset from the most stable computed form: 2.28 eV/f.u.

The structure in extended XYZ format:
```
4
Lattice="0.0000 3.1254 3.1254 3.1254 0.0000 3.1254 3.1254 3.1254 0.0000" Properties=species:S:1:pos:R:3 pbc="T T T"
Al 0.0000 0.0000 0.0000
Ru 1.5627 1.5627 1.5627
Ru 3.1254 3.1254 3.1254
Se 4.6881 4.6881 4.6881
```

[3]
The following is a GGA-PBE calculation of a geometry-optimized AlRu2Se structure, from Alexandria via LeMat-Bulk.

Values from the calculation:
- Total DFT energy (no corrections): -6.5010 eV per atom
- Offset from the most stable computed form: 0.65 eV/f.u.

The structure in extended XYZ format:
```
4
Lattice="1.4717 0.8497 7.9335 -1.4717 0.8497 7.9335 0.0000 -1.6994 7.9335" Properties=species:S:1:pos:R:3 pbc="T T T"
Al 0.0000 0.0000 0.0000
Ru 0.0000 0.0000 5.9167
Ru 0.0000 0.0000 17.8840
Se 0.0000 0.0000 11.9003
```

For the records above, the corresponding volume values read 15.5, 15.3, 14.9 Å³ per atom.
For the records above, the corresponding formation energy without anion corrections values read -0.32, 0.35, -0.06 eV/atom.